Entry 1:
DFT (PBE) results for a geometry-optimized TbNd2Ir2 structure.

Summary:
space-group type: C2/m

Cell lengths 6.6118, 6.6118, 11.2075 Å; angles 118.59, 118.59, 36.59 degrees
Element x y z (fractional)
Tb1 0.2032 0.2032 0.3646
Tb2 0.7968 0.7968 0.6354
Nd1 0.3295 0.3295 0.9131
Nd2 0.4598 0.4598 0.3038
Nd3 0.5402 0.5402 0.6962
Nd4 0.6705 0.6705 0.0869
Ir1 0.0254 0.0254 0.8924
Ir2 0.1270 0.1270 0.5716
Ir3 0.8730 0.8730 0.4284
Ir4 0.9746 0.9746 0.1076

Entry 2:
DFT (PBE) results for a geometry-optimized Tb2NdIr structure.

Summary:
energy relative to the lowest polymorph listed for this composition: 0.128 eV per atom
space-group type: P4/mmm

Cell lengths 3.5120, 3.5120, 8.9545 Å; angles 90.00, 90.00, 90.00 degrees
Element x y z (fractional)
Tb1 0.0000 0.0000 0.1819
Tb2 0.0000 0.0000 0.8181
Nd1 0.5000 0.5000 0.5000
Ir1 0.5000 0.5000 0.0000

Entry 3:
DFT (PBE) results for a geometry-optimized Tb2NdIr structure.

Summary:
energy relative to the lowest polymorph listed for this composition: 0.000 eV per atom
space-group type: Pnma

Cell lengths 7.3021, 9.4787, 6.4859 Å; angles 90.00, 90.00, 90.00 degrees
Element x y z (fractional)
Tb1 0.1752 0.0648 0.1702
Tb2 0.1752 0.4352 0.1702
Tb3 0.3248 0.5648 0.6702
Tb4 0.3248 0.9352 0.6702
Tb5 0.6752 0.0648 0.3298
Tb6 0.6752 0.4352 0.3298
Tb7 0.8248 0.5648 0.8298
Tb8 0.8248 0.9352 0.8298
Nd1 0.0344 0.2500 0.6350
Nd2 0.4656 0.7500 0.1350
Nd3 0.5344 0.2500 0.8650
Nd4 0.9656 0.7500 0.3650
Ir1 0.1176 0.7500 0.9349
Ir2 0.3824 0.2500 0.4349
Ir3 0.6176 0.7500 0.5651
Ir4 0.8824 0.2500 0.0651

Entry 4:
DFT (PBE) results for a geometry-optimized TbNd2Ir structure.

Summary:
energy relative to the lowest polymorph listed for this composition: 0.044 eV per atom
space-group type: Cmcm

Cell lengths 6.3599, 6.3599, 9.7028 Å; angles 90.00, 90.00, 143.78 degrees
Element x y z (fractional)
Tb1 0.0834 0.9166 0.7500
Tb2 0.9166 0.0834 0.2500
Nd1 0.3609 0.6391 0.5671
Nd2 0.3609 0.6391 0.9329
Nd3 0.6391 0.3609 0.0671
Nd4 0.6391 0.3609 0.4329
Ir1 0.2450 0.7550 0.2500
Ir2 0.7550 0.2450 0.7500

Entry 5:
DFT (PBE) results for a geometry-optimized TbNd3Ir structure.

Summary:
space-group type: Pm-3m

Cell lengths 5.6114, 5.6114, 5.6114 Å; angles 90.00, 90.00, 90.00 degrees
Element x y z (fractional)
Tb1 0.0000 0.0000 0.0000
Nd1 0.0000 0.5000 0.5000
Nd2 0.5000 0.0000 0.5000
Nd3 0.5000 0.5000 0.0000
Ir1 0.5000 0.5000 0.5000

Entry 6:
DFT (PBE) results for a geometry-optimized TbNd2Ir structure.

Summary:
energy relative to the lowest polymorph listed for this composition: 0.000 eV per atom
space-group type: Pnma

Cell lengths 7.3300, 9.8516, 6.4545 Å; angles 90.00, 90.00, 90.00 degrees
Element x y z (fractional)
Tb1 0.0377 0.2500 0.1478
Tb2 0.4623 0.7500 0.6478
Tb3 0.5377 0.2500 0.3522
Tb4 0.9623 0.7500 0.8522
Nd1 0.1779 0.0656 0.6729
Nd2 0.1779 0.4344 0.6729
Nd3 0.3221 0.5656 0.1729
Nd4 0.3221 0.9344 0.1729
Nd5 0.6779 0.0656 0.8271
Nd6 0.6779 0.4344 0.8271
Nd7 0.8221 0.5656 0.3271
Nd8 0.8221 0.9344 0.3271
Ir1 0.1204 0.7500 0.4515
Ir2 0.3796 0.2500 0.9515
Ir3 0.6204 0.7500 0.0485
Ir4 0.8796 0.2500 0.5485

In eV per atom, the electronic total energy values for the records above are, in order, -6.990, -6.120, -6.248, -6.191, -5.679, -6.234.